No. 1
Entry from Alexandria: a relaxed MnTe2Pd8 crystal (GGA-PBE).

abc: 7.818 7.818 6.342
angles: 108.02 108.02 30.51
Element x y z (fractional)
Mn 0.000 0.000 0.000
Te 0.304 0.304 0.339
Te 0.696 0.696 0.661
Pd 0.086 0.086 0.450
Pd 0.175 0.175 0.931
Pd 0.360 0.360 0.802
Pd 0.464 0.464 0.254
Pd 0.536 0.536 0.746
Pd 0.640 0.640 0.198
Pd 0.825 0.825 0.069
Pd 0.914 0.914 0.550

Results
Offset from the most stable computed form   0.000 eV per formula unit
Space group   C2/m, No. 12
ΔE_f (raw)   -263 meV per atom
Total moment   4.465 μB/f.u.

***

No. 2
Entry from Alexandria: a relaxed Mn2TePd2 crystal (GGA-PBE).

abc: 6.380 6.380 3.983
angles: 90.00 90.00 90.00
Element x y z (fractional)
Mn 0.119 0.381 0.000
Mn 0.381 0.881 0.000
Mn 0.619 0.119 0.000
Mn 0.881 0.619 0.000
Te 0.000 0.000 0.000
Te 0.500 0.500 0.000
Pd 0.161 0.661 0.500
Pd 0.339 0.161 0.500
Pd 0.661 0.839 0.500
Pd 0.839 0.339 0.500

Results
Offset from the most stable computed form   0.495 eV per formula unit
Space group   P4/mbm, No. 127
ΔE_f (raw)   214 meV per atom
Total moment   3.836 μB/f.u.

***

No. 3
Entry from Alexandria: a relaxed MnTe4Pd2 crystal (GGA-PBE).

abc: 8.013 8.013 8.013
angles: 119.95 119.95 90.09
Element x y z (fractional)
Mn 0.375 0.625 0.750
Mn 0.625 0.375 0.250
Te 0.224 0.242 0.983
Te 0.241 0.758 0.483
Te 0.242 0.224 0.483
Te 0.242 0.759 0.017
Te 0.758 0.241 0.983
Te 0.758 0.776 0.517
Te 0.759 0.242 0.517
Te 0.776 0.758 0.017
Pd 0.000 0.000 0.000
Pd 0.000 0.000 0.500
Pd 0.000 0.500 0.000
Pd 0.500 0.000 0.500

Results
Offset from the most stable computed form   0.542 eV per formula unit
Space group   I4_1/amd, No. 141
ΔE_f (raw)   -207 meV per atom
Total moment   3.137 μB/f.u.

***

No. 4
Entry from Alexandria: a relaxed Mn2TePd crystal (GGA-PBE).

abc: 5.565 5.565 11.067
angles: 90.00 90.00 90.00
Element x y z (fractional)
Mn 0.224 0.250 0.125
Mn 0.250 0.724 0.375
Mn 0.250 0.776 0.875
Mn 0.276 0.250 0.625
Mn 0.724 0.750 0.625
Mn 0.750 0.224 0.875
Mn 0.750 0.276 0.375
Mn 0.776 0.750 0.125
Te 0.000 0.000 0.500
Te 0.000 0.500 0.750
Te 0.500 0.000 0.250
Te 0.500 0.500 0.000
Pd 0.000 0.000 0.000
Pd 0.000 0.500 0.250
Pd 0.500 0.000 0.750
Pd 0.500 0.500 0.500

Results
Space group   I-42d, No. 122
ΔE_f (raw)   1084 meV per atom
Total moment   0.002 μB/f.u.

***

No. 5
Entry from Alexandria: a relaxed Mn2Te5Pd crystal (GGA-PBE).

abc: 8.848 7.534 6.046
angles: 80.51 57.12 42.37
Element x y z (fractional)
Mn 0.196 0.196 0.804
Mn 0.804 0.804 0.196
Te 0.000 0.000 0.000
Te 0.192 0.506 0.494
Te 0.494 0.808 0.192
Te 0.506 0.192 0.808
Te 0.808 0.494 0.506
Pd 0.500 0.500 0.500

Results
Space group   Fmmm, No. 69
ΔE_f (raw)   8 meV per atom
Total moment   7.473 μB/f.u.

***

No. 6
Entry from Alexandria: a relaxed Mn2Te6Pd crystal (GGA-PBE).

abc: 6.884 6.884 5.656
angles: 90.00 90.00 120.00
Element x y z (fractional)
Mn 0.333 0.667 0.000
Mn 0.667 0.333 0.000
Te 0.000 0.339 0.257
Te 0.000 0.661 0.743
Te 0.339 0.000 0.257
Te 0.339 0.339 0.743
Te 0.661 0.000 0.743
Te 0.661 0.661 0.257
Pd 0.000 0.000 0.000

Results
Space group   P-31m, No. 162
ΔE_f (raw)   -233 meV per atom
Total moment   5.986 μB/f.u.

***

No. 7
Entry from Alexandria: a relaxed MnTePd4 crystal (GGA-PBE).

abc: 7.512 7.512 7.512
angles: 33.28 33.28 33.28
Element x y z (fractional)
Mn 0.000 0.000 0.000
Te 0.500 0.500 0.500
Pd 0.121 0.121 0.121
Pd 0.374 0.374 0.374
Pd 0.626 0.626 0.626
Pd 0.879 0.879 0.879

Results
Offset from the most stable computed form   0.943 eV per formula unit
Space group   R-3m, No. 166
ΔE_f (raw)   -60 meV per atom
Total moment   4.616 μB/f.u.

***

No. 8
Entry from Alexandria: a relaxed MnTe6Pd crystal (GGA-PBE).

abc: 6.579 6.579 6.579
angles: 61.07 61.07 61.07
Element x y z (fractional)
Mn 0.000 0.000 0.000
Te 0.050 0.764 0.435
Te 0.236 0.565 0.950
Te 0.435 0.050 0.764
Te 0.565 0.950 0.236
Te 0.764 0.435 0.050
Te 0.950 0.236 0.565
Pd 0.500 0.500 0.500

Results
Space group   R-3, No. 148
ΔE_f (raw)   -125 meV per atom
Total moment   1.845 μB/f.u.

***

No. 9
Entry from Alexandria: a relaxed MnTe2Pd7 crystal (GGA-PBE).

abc: 11.616 11.616 11.616
angles: 160.10 160.10 28.28
Element x y z (fractional)
Mn 0.000 0.000 0.000
Te 0.334 0.334 0.000
Te 0.666 0.666 0.000
Pd 0.086 0.586 0.500
Pd 0.250 0.750 0.500
Pd 0.414 0.914 0.500
Pd 0.500 0.500 0.000
Pd 0.586 0.086 0.500
Pd 0.750 0.250 0.500
Pd 0.914 0.414 0.500

Results
Offset from the most stable computed form   0.000 eV per formula unit
Space group   I4/mmm, No. 139
ΔE_f (raw)   -259 meV per atom
Total moment   4.663 μB/f.u.

***

No. 10
Entry from Alexandria: a relaxed MnTePd3 crystal (GGA-PBE).

abc: 7.464 5.578 8.640
angles: 90.00 90.04 90.00
Element x y z (fractional)
Mn 0.115 0.250 0.125
Mn 0.115 0.250 0.625
Mn 0.885 0.750 0.375
Mn 0.885 0.750 0.875
Te 0.429 0.750 0.125
Te 0.429 0.750 0.625
Te 0.571 0.250 0.375
Te 0.571 0.250 0.875
Pd 0.076 0.749 0.125
Pd 0.076 0.751 0.625
Pd 0.254 0.502 0.376
Pd 0.254 0.502 0.875
Pd 0.254 0.998 0.375
Pd 0.254 0.998 0.876
Pd 0.746 0.002 0.124
Pd 0.746 0.002 0.625
Pd 0.746 0.498 0.125
Pd 0.746 0.498 0.624
Pd 0.924 0.249 0.375
Pd 0.924 0.251 0.875

Results
Offset from the most stable computed form   0.000 eV per formula unit
Space group   P2_1/c, No. 14
ΔE_f (raw)   -213 meV per atom
Total moment   4.437 μB/f.u.

***

No. 11
Entry from Alexandria: a relaxed MnTe2Pd9 crystal (GGA-PBE).

abc: 4.050 4.050 12.005
angles: 90.00 90.00 90.00
Element x y z (fractional)
Mn 0.000 0.000 0.000
Te 0.000 0.000 0.322
Te 0.000 0.000 0.678
Pd 0.000 0.500 0.159
Pd 0.000 0.500 0.500
Pd 0.000 0.500 0.841
Pd 0.500 0.000 0.159
Pd 0.500 0.000 0.500
Pd 0.500 0.000 0.841
Pd 0.500 0.500 0.000
Pd 0.500 0.500 0.334
Pd 0.500 0.500 0.666

Results
Space group   P4/mmm, No. 123
ΔE_f (raw)   -201 meV per atom
Total moment   4.634 μB/f.u.

***

No. 12
Entry from Alexandria: a relaxed MnTePd2 crystal (GGA-PBE).

abc: 3.476 3.476 5.799
angles: 90.00 90.00 90.00
Element x y z (fractional)
Mn 0.000 0.000 0.000
Te 0.000 0.000 0.500
Pd 0.500 0.500 0.235
Pd 0.500 0.500 0.765

Results
Space group   P4/mmm, No. 123
ΔE_f (raw)   -163 meV per atom
Total moment   4.092 μB/f.u.

***

No. 13
Entry from Alexandria: a relaxed MnTe2Pd crystal (GGA-PBE).

abc: 7.196 4.162 7.423
angles: 90.00 108.92 90.00
Element x y z (fractional)
Mn 0.000 0.000 0.000
Mn 0.500 0.500 0.000
Te 0.107 0.500 0.824
Te 0.126 0.000 0.377
Te 0.607 0.000 0.824
Te 0.626 0.500 0.377
Pd 0.236 0.500 0.209
Pd 0.736 0.000 0.209

Results
Space group   Cm, No. 8
ΔE_f (raw)   -233 meV per atom
Total moment   3.612 μB/f.u.

***

No. 14
Entry from Alexandria: a relaxed Mn2TePd8 crystal (GGA-PBE).

abc: 7.400 7.400 6.196
angles: 103.91 103.91 32.11
Element x y z (fractional)
Mn 0.221 0.221 0.151
Mn 0.779 0.779 0.849
Te 0.500 0.500 0.500
Pd 0.043 0.043 0.232
Pd 0.153 0.153 0.713
Pd 0.321 0.321 0.582
Pd 0.403 0.403 0.038
Pd 0.597 0.597 0.962
Pd 0.679 0.679 0.418
Pd 0.847 0.847 0.287
Pd 0.957 0.957 0.768

Results
Offset from the most stable computed form   0.000 eV per formula unit
Space group   C2/m, No. 12
ΔE_f (raw)   -223 meV per atom
Total moment   9.266 μB/f.u.

***

No. 15
Entry from Alexandria: a relaxed MnTePd3 crystal (GGA-PBE).

abc: 3.180 7.811 7.406
angles: 90.00 90.00 90.00
Element x y z (fractional)
Mn 0.250 0.250 0.015
Mn 0.750 0.750 0.985
Te 0.250 0.250 0.602
Te 0.750 0.750 0.398
Pd 0.250 0.545 0.177
Pd 0.250 0.750 0.703
Pd 0.250 0.955 0.177
Pd 0.750 0.045 0.823
Pd 0.750 0.250 0.297
Pd 0.750 0.455 0.823

Results
Offset from the most stable computed form   0.518 eV per formula unit
Space group   Pmmn, No. 59
ΔE_f (raw)   -110 meV per atom
Total moment   4.689 μB/f.u.

***

No. 16
Entry from Alexandria: a relaxed MnTe6Pd5 crystal (GGA-PBE).

abc: 6.823 6.823 6.916
angles: 99.46 99.46 119.43
Element x y z (fractional)
Mn 0.000 0.000 0.000
Te 0.084 0.419 0.248
Te 0.251 0.251 0.743
Te 0.419 0.084 0.248
Te 0.581 0.916 0.752
Te 0.749 0.749 0.257
Te 0.916 0.581 0.752
Pd 0.167 0.833 0.500
Pd 0.334 0.666 0.000
Pd 0.500 0.500 0.500
Pd 0.666 0.334 0.000
Pd 0.833 0.167 0.500

Results
Space group   C2/m, No. 12
ΔE_f (raw)   -231 meV per atom
Total moment   3.854 μB/f.u.

***

No. 17
Entry from Alexandria: a relaxed MnTePd3 crystal (GGA-PBE).

abc: 4.610 4.610 4.610
angles: 90.00 90.00 90.00
Element x y z (fractional)
Mn 0.000 0.000 0.000
Te 0.500 0.500 0.500
Pd 0.000 0.000 0.500
Pd 0.000 0.500 0.000
Pd 0.500 0.000 0.000

Results
Offset from the most stable computed form   4.924 eV per formula unit
Space group   Pm-3m, No. 221
ΔE_f (raw)   771 meV per atom
Total moment   0.000 μB/f.u.

***

No. 18
Entry from Alexandria: a relaxed Mn2TePd8 crystal (GGA-PBE).

abc: 7.827 7.827 7.827
angles: 146.28 136.50 56.14
Element x y z (fractional)
Mn 0.186 0.186 0.000
Mn 0.814 0.814 0.000
Te 0.500 0.500 0.000
Pd 0.088 0.352 0.736
Pd 0.238 0.000 0.238
Pd 0.319 0.819 0.500
Pd 0.384 0.648 0.736
Pd 0.616 0.352 0.264
Pd 0.681 0.181 0.500
Pd 0.762 0.000 0.762
Pd 0.912 0.648 0.264

Results
Offset from the most stable computed form   0.341 eV per formula unit
Space group   Immm, No. 71
ΔE_f (raw)   -192 meV per atom
Total moment   9.271 μB/f.u.

***

No. 19
Entry from Alexandria: a relaxed ThMn3Pd12 crystal (GGA-PBE).

abc: 4.054 4.054 15.622
angles: 90.00 90.00 90.00
Element x y z (fractional)
Th 0.000 0.000 0.000
Mn 0.000 0.000 0.261
Mn 0.000 0.000 0.500
Mn 0.000 0.000 0.739
Pd 0.000 0.500 0.137
Pd 0.000 0.500 0.380
Pd 0.000 0.500 0.620
Pd 0.000 0.500 0.863
Pd 0.500 0.000 0.137
Pd 0.500 0.000 0.380
Pd 0.500 0.000 0.620
Pd 0.500 0.000 0.863
Pd 0.500 0.500 0.000
Pd 0.500 0.500 0.259
Pd 0.500 0.500 0.500
Pd 0.500 0.500 0.741

Results
Energy of formation from the pure elements   -6.3 eV/f.u.
Space group   P4/mmm, No. 123
Total moment   13.064 μB/f.u.

***

No. 20
Entry from Alexandria: a relaxed ThMnPd crystal (GGA-PBE).

abc: 3.927 4.255 7.395
angles: 90.00 90.00 90.00
Element x y z (fractional)
Th 0.000 0.000 0.000
Th 0.000 0.500 0.500
Mn 0.500 0.000 0.366
Mn 0.500 0.000 0.634
Pd 0.500 0.500 0.178
Pd 0.500 0.500 0.822

Results
Energy of formation from the pure elements   -0.6 eV/f.u.
Space group   Pmmm, No. 47
Total moment   0.001 μB/f.u.

***

No. 21
Entry from Alexandria: a relaxed ThMn2Pd9 crystal (GGA-PBE).

abc: 4.089 4.089 11.731
angles: 90.00 90.00 90.00
Element x y z (fractional)
Th 0.000 0.000 0.000
Mn 0.000 0.000 0.345
Mn 0.000 0.000 0.655
Pd 0.000 0.500 0.181
Pd 0.000 0.500 0.500
Pd 0.000 0.500 0.819
Pd 0.500 0.000 0.181
Pd 0.500 0.000 0.500
Pd 0.500 0.000 0.819
Pd 0.500 0.500 0.000
Pd 0.500 0.500 0.340
Pd 0.500 0.500 0.660

Results
Energy of formation from the pure elements   -5.5 eV/f.u.
Space group   P4/mmm, No. 123
Total moment   8.384 μB/f.u.

***

No. 22
Entry from Alexandria: a relaxed Th3MnPd crystal (GGA-PBE).

abc: 8.305 3.782 8.576
angles: 90.00 111.58 90.00
Element x y z (fractional)
Th 0.052 0.250 0.181
Th 0.210 0.750 0.547
Th 0.402 0.750 0.158
Th 0.598 0.250 0.842
Th 0.790 0.250 0.453
Th 0.948 0.750 0.819
Mn 0.452 0.250 0.434
Mn 0.548 0.750 0.566
Pd 0.236 0.250 0.848
Pd 0.764 0.750 0.152

Results
Energy of formation from the pure elements   -1.4 eV/f.u.
Space group   P2_1/m, No. 11
Total moment   0.000 μB/f.u.